PBE+U VIOF2, optimized geometry; SG = P4/mmm; energy above the lowest structure with this stoichiometry = 0.9173 eV/atom; magnetic moment = 0.7133 μB per atom
1.0
4.980 0.000 0.000
0.000 4.980 0.000
0.000 0.000 4.040
I F O V
1 2 1 1
direct
0.000 0.000 0.000
0.000 0.500 0.000
0.500 0.000 0.000
0.000 0.000 0.500
0.500 0.500 0.500